1.
DFT (GGA-PBE) results for crystalline AlPOs2 at its relaxed geometry.

## Properties
Energy relative to the lowest polymorph listed for this composition ... 450 meV/atom
ΔE_f ... 0.214 eV/atom
Total magnetization ... 0.000 μB per atom
D(E_F) ... 0.97 states/eV/atom
Calculated total energy ... -7.69 eV per atom

Cell: 4.9590 4.9590 4.9590 Å, 137.62 137.62 61.49°
Fractional positions:
1 P 0.5000 0.5000 0.0000
2 Os 0.0000 0.0000 0.0000
3 Os 0.2500 0.7500 0.5000
4 Al 0.7500 0.2500 0.5000


2.
DFT (GGA-PBE) results for crystalline AlPOs2 at its relaxed geometry.

## Properties
Energy relative to the lowest polymorph listed for this composition ... 116 meV/atom
ΔE_f ... -0.120 eV/atom
Total magnetization ... 0.000 μB per atom
D(E_F) ... 0.55 states/eV/atom
Calculated total energy ... -8.02 eV per atom

Cell: 4.4749 2.8902 4.3404 Å, 84.56 90.00 90.00°
Fractional positions:
1 Os 0.0000 0.9172 0.0374
2 Os 0.5000 0.3906 0.2369
3 Al 0.5000 0.8793 0.7309
4 P 0.0000 0.3129 0.4948


3.
DFT (GGA-PBE) results for crystalline AlPOs2 at its relaxed geometry.

## Properties
Energy relative to the lowest polymorph listed for this composition ... 172 meV/atom
ΔE_f ... -0.064 eV/atom
Total magnetization ... 0.000 μB per atom
D(E_F) ... 0.63 states/eV/atom
Calculated total energy ... -7.97 eV per atom

Cell: 4.2281 4.2281 4.9579 Å, 79.47 79.47 39.55°
Fractional positions:
1 P 0.2500 0.2500 0.2500
2 Al 0.7500 0.7500 0.7500
3 Os 0.5025 0.5025 0.4810
4 Os 0.9975 0.9975 0.0190


4.
DFT (GGA-PBE) results for crystalline Al4POs at its relaxed geometry.

## Properties
ΔE_f ... 0.372 eV/atom
Total magnetization ... 0.000 μB per atom
D(E_F) ... 0.44 states/eV/atom
Calculated total energy ... -4.90 eV per atom

Cell: 5.0501 5.0501 5.0501 Å, 60.00 60.00 60.00°
Fractional positions:
1 Al 0.1261 0.6246 0.6246
2 Al 0.6246 0.6246 0.6246
3 Al 0.6246 0.1261 0.6246
4 Al 0.6246 0.6246 0.1261
5 P 0.0000 0.0000 0.0000
6 Os 0.2500 0.2500 0.2500